First-principles (PBEsol) data for a relaxed structure of CuRuCl2, as listed in Alexandria via LeMat-Bulk.

```
CuRuCl2
1.0
0.000 3.050 3.050
3.050 0.000 3.050
3.050 3.050 0.000
Cu Ru Cl
1 1 2
Direct
0.000 0.000 0.000
0.500 0.500 0.500
0.250 0.250 0.250
0.750 0.750 0.750
```

- Energy above the lowest structure with this stoichiometry: 339 meV per atom
- Total energy: -16.21 eV per cell
- M_tot: 0.00 μB/cell
- Formation energy (no corrections): 579.1 meV/atom

***

First-principles (PBEsol) data for a relaxed structure of MoIF3, as listed in Alexandria via LeMat-Bulk.

```
MoIF3
1.0
4.680 0.000 0.000
0.000 4.680 0.000
0.000 0.000 4.680
Mo I F
1 1 3
Direct
0.000 0.000 0.000
0.500 0.500 0.500
0.000 0.500 0.500
0.500 0.000 0.500
0.500 0.500 0.000
```

- Total energy: -18.37 eV per cell
- M_tot: 4.99 μB/cell
- Formation energy (no corrections): 189.5 meV/atom

***

First-principles (PBEsol) data for a relaxed structure of YIn2Cu2, as listed in Alexandria via LeMat-Bulk.

```
YIn2Cu2
1.0
-2.103 2.103 5.492
2.103 -2.103 5.492
2.103 2.103 -5.492
Y In Cu
1 2 2
Direct
0.000 0.000 0.000
0.250 0.750 0.500
0.750 0.250 0.500
0.395 0.395 0.000
0.605 0.605 0.000
```

- Total energy: -22.80 eV per cell
- Formation enthalpy at 0 K: -270 meV per atom
- M_tot: 0.00 μB/cell

***

First-principles (PBEsol) data for a relaxed structure of AuSe3O, as listed in Alexandria via LeMat-Bulk.

```
AuSe3O
1.0
4.442 0.000 0.000
0.000 4.442 0.000
0.000 0.000 4.442
Au Se O
1 3 1
Direct
0.000 0.000 0.000
0.000 0.500 0.500
0.500 0.000 0.500
0.500 0.500 0.000
0.500 0.500 0.500
```

- Total energy: -17.66 eV per cell
- M_tot: 0.00 μB/cell
- Formation energy (no corrections): 611.8 meV/atom

***

First-principles (PBEsol) data for a relaxed structure of Be3SiHg, as listed in Alexandria via LeMat-Bulk.

```
Be3SiHg
1.0
4.261 0.000 0.000
0.000 4.261 0.000
0.000 0.000 4.261
Be Si Hg
3 1 1
Direct
0.000 0.000 0.500
0.000 0.500 0.000
0.500 0.000 0.000
0.000 0.000 0.000
0.500 0.500 0.500
```

- Energy above the lowest structure with this stoichiometry: 0 meV per atom
- Total energy: -14.33 eV per cell
- M_tot: 0.00 μB/cell
- Formation energy (no corrections): 797.6 meV/atom

***

First-principles (PBEsol) data for a relaxed structure of CaAgAu, as listed in Alexandria via LeMat-Bulk.

```
CaAgAu
1.0
4.656 0.000 0.000
-2.328 4.032 0.000
0.000 0.000 3.499
Ca Ag Au
1 1 1
Direct
0.000 0.000 0.000
0.333 0.667 0.500
0.667 0.333 0.500
```

- Energy above the lowest structure with this stoichiometry: 0 meV per atom
- Total energy: -10.78 eV per cell
- Formation enthalpy at 0 K: -469 meV per atom
- M_tot: 0.00 μB/cell

***

First-principles (PBEsol) data for a relaxed structure of Na2Ca4ZrNbSi4O17F, as listed in Alexandria via LeMat-Bulk.

```
Na2Ca4ZrNbSi4O17F
1.0
7.358 0.000 0.000
0.000 10.361 0.000
-3.573 0.000 10.259
Na Ca Zr Nb Si O F
4 8 2 2 8 34 2
Direct
0.081 0.000 0.375
0.189 0.152 0.139
0.811 0.652 0.861
0.919 0.500 0.625
0.045 0.347 0.344
0.195 0.771 0.149
0.297 0.642 0.867
0.451 0.881 0.651
0.549 0.381 0.349
0.703 0.142 0.133
0.805 0.271 0.851
0.955 0.847 0.656
0.310 0.265 0.850
0.690 0.765 0.150
0.408 0.513 0.614
0.592 0.013 0.386
0.047 0.696 0.426
0.132 0.450 0.067
0.301 0.950 0.930
0.382 0.193 0.578
0.618 0.693 0.422
0.699 0.450 0.070
0.868 0.950 0.933
0.953 0.196 0.574
0.013 0.667 0.750
0.021 0.212 0.733
0.108 0.934 0.975
0.150 0.169 0.537
0.150 0.822 0.505
0.164 0.344 0.961
0.168 0.560 0.476
0.174 0.595 0.033
0.236 0.402 0.215
0.264 0.912 0.781
0.293 0.430 0.729
0.376 0.098 0.967
0.404 0.331 0.512
0.437 0.839 0.026
0.454 0.067 0.517
0.467 0.663 0.710
0.476 0.194 0.736
0.524 0.694 0.264
0.533 0.163 0.290
0.546 0.567 0.483
0.563 0.339 0.974
0.596 0.831 0.488
0.624 0.598 0.033
0.707 0.930 0.271
0.736 0.412 0.219
0.764 0.902 0.785
0.826 0.095 0.967
0.832 0.060 0.524
0.836 0.844 0.039
0.850 0.322 0.495
0.850 0.669 0.463
0.892 0.434 0.025
0.979 0.712 0.267
0.987 0.167 0.250
0.316 0.946 0.275
0.684 0.446 0.725
```

- Total energy: -465.38 eV per cell
- M_tot: 0.23 μB/cell
- Formation energy (no corrections): -2909.8 meV/atom

***

First-principles (PBEsol) data for a relaxed structure of VSn2, as listed in Alexandria via LeMat-Bulk.

```
VSn2
1.0
0.000 4.673 9.236
2.718 0.000 9.236
2.718 4.673 0.000
V Sn
4 8
Direct
0.002 0.002 0.748
0.252 0.252 0.998
0.748 0.748 0.002
0.998 0.998 0.252
0.042 0.708 0.042
0.291 0.291 0.459
0.292 0.958 0.292
0.459 0.459 0.291
0.541 0.541 0.709
0.708 0.042 0.708
0.709 0.709 0.541
0.958 0.292 0.958
```

- Total energy: -73.98 eV per cell
- Formation enthalpy at 0 K: -114 meV per atom
- M_tot: 0.00 μB/cell

***

First-principles (PBEsol) data for a relaxed structure of Rb2Mg2Mo3O12, as listed in Alexandria via LeMat-Bulk.

```
Rb2Mg2Mo3O12
1.0
10.800 0.000 0.000
0.000 10.800 0.000
0.000 0.000 10.800
Rb Mg Mo O
8 8 12 48
Direct
0.051 0.051 0.051
0.177 0.323 0.677
0.323 0.677 0.177
0.449 0.949 0.551
0.551 0.449 0.949
0.677 0.177 0.323
0.823 0.823 0.823
0.949 0.551 0.449
0.113 0.887 0.387
0.162 0.662 0.838
0.338 0.338 0.338
0.387 0.113 0.887
0.613 0.613 0.613
0.662 0.838 0.162
0.838 0.162 0.662
0.887 0.387 0.113
0.027 0.201 0.379
0.121 0.973 0.701
0.201 0.379 0.027
0.299 0.621 0.527
0.379 0.027 0.201
0.473 0.799 0.879
0.527 0.299 0.621
0.621 0.527 0.299
0.701 0.121 0.973
0.799 0.879 0.473
0.879 0.473 0.799
0.973 0.701 0.121
0.019 0.045 0.327
0.022 0.548 0.777
0.045 0.327 0.019
0.048 0.723 0.978
0.053 0.793 0.230
0.103 0.819 0.749
0.173 0.981 0.545
0.181 0.249 0.397
0.207 0.730 0.447
0.223 0.522 0.952
0.230 0.053 0.793
0.249 0.397 0.181
0.251 0.603 0.681
0.270 0.947 0.293
0.277 0.478 0.452
0.293 0.270 0.947
0.319 0.751 0.897
0.327 0.019 0.045
0.397 0.181 0.249
0.447 0.207 0.730
0.452 0.277 0.478
0.455 0.673 0.519
0.478 0.452 0.277
0.481 0.955 0.827
0.519 0.455 0.673
0.522 0.952 0.223
0.545 0.173 0.981
0.548 0.777 0.022
0.553 0.707 0.770
0.603 0.681 0.251
0.673 0.519 0.455
0.681 0.251 0.603
0.707 0.770 0.553
0.723 0.978 0.048
0.730 0.447 0.207
0.749 0.103 0.819
0.751 0.897 0.319
0.770 0.553 0.707
0.777 0.022 0.548
0.793 0.230 0.053
0.819 0.749 0.103
0.827 0.481 0.955
0.897 0.319 0.751
0.947 0.293 0.270
0.952 0.223 0.522
0.955 0.827 0.481
0.978 0.048 0.723
0.981 0.545 0.173
```

- Total energy: -586.47 eV per cell
- M_tot: 0.00 μB/cell
- Formation energy (no corrections): -2254.6 meV/atom

***

First-principles (PBEsol) data for a relaxed structure of NiAs2, as listed in Alexandria via LeMat-Bulk.

```
NiAs2
1.0
5.729 0.000 0.000
0.000 5.806 0.000
0.000 0.000 11.339
Ni As
8 16
Direct
0.004 0.173 0.129
0.004 0.327 0.629
0.496 0.673 0.129
0.496 0.827 0.629
0.504 0.173 0.371
0.504 0.327 0.871
0.996 0.673 0.371
0.996 0.827 0.871
0.121 0.550 0.181
0.121 0.950 0.681
0.138 0.190 0.931
0.138 0.310 0.431
0.362 0.690 0.931
0.362 0.810 0.431
0.379 0.050 0.181
0.379 0.450 0.681
0.621 0.550 0.319
0.621 0.950 0.819
0.638 0.190 0.569
0.638 0.310 0.069
0.862 0.690 0.569
0.862 0.810 0.069
0.879 0.050 0.319
0.879 0.450 0.819
```

- Total energy: -138.26 eV per cell
- Formation enthalpy at 0 K: -304 meV per atom
- M_tot: 0.00 μB/cell

***

First-principles (PBEsol) data for a relaxed structure of La2AlIn, as listed in Alexandria via LeMat-Bulk.

```
La2AlIn
1.0
4.250 0.000 0.000
0.000 4.851 0.000
0.000 0.000 5.196
La Al In
2 1 1
Direct
0.000 0.000 0.000
0.000 0.500 0.391
0.500 0.000 0.513
0.500 0.500 0.870
```

- Total energy: -19.52 eV per cell
- Formation enthalpy at 0 K: -439 meV per atom
- M_tot: 0.00 μB/cell

***

First-principles (PBEsol) data for a relaxed structure of Mo2C, as listed in Alexandria via LeMat-Bulk.

```
Mo2C
1.0
3.031 0.000 0.000
-1.515 2.625 0.000
0.000 0.000 4.617
Mo C
2 1
Direct
0.333 0.667 0.251
0.667 0.333 0.749
0.000 0.000 0.000
```

- Total energy: -33.57 eV per cell
- Formation enthalpy at 0 K: -131 meV per atom
- M_tot: 0.00 μB/cell

***

First-principles (PBEsol) data for a relaxed structure of BaZrRe2, as listed in Alexandria via LeMat-Bulk.

```
BaZrRe2
1.0
0.000 3.422 3.422
3.422 0.000 3.422
3.422 3.422 0.000
Ba Zr Re
1 1 2
Direct
0.000 0.000 0.000
0.500 0.500 0.500
0.250 0.250 0.250
0.750 0.750 0.750
```

- Energy above the lowest structure with this stoichiometry: 440 meV per atom
- Total energy: -33.37 eV per cell
- Formation enthalpy at 0 K: 1134 meV per atom
- M_tot: 0.00 μB/cell

***

First-principles (PBEsol) data for a relaxed structure of Li2B2Rh3, as listed in Alexandria via LeMat-Bulk.

```
Li2B2Rh3
1.0
5.760 0.000 0.000
0.000 9.382 0.000
0.000 0.000 2.808
Li B Rh
4 4 6
Direct
0.160 0.073 0.000
0.340 0.573 0.000
0.660 0.427 0.000
0.840 0.927 0.000
0.061 0.330 0.000
0.439 0.830 0.000
0.561 0.170 0.000
0.939 0.670 0.000
0.000 0.500 0.500
0.167 0.780 0.500
0.333 0.280 0.500
0.500 0.000 0.500
0.667 0.720 0.500
0.833 0.220 0.500
```

- Total energy: -91.89 eV per cell
- Formation enthalpy at 0 K: -509 meV per atom
- M_tot: 0.00 μB/cell

***

First-principles (PBEsol) data for a relaxed structure of Ca2NiN2, as listed in Alexandria via LeMat-Bulk.

```
Ca2NiN2
1.0
5.293 -2.449 0.000
5.293 2.449 0.000
-3.604 0.000 5.657
Ca Ni N
4 2 4
Direct
0.045 0.045 0.272
0.320 0.320 0.905
0.680 0.680 0.095
0.955 0.955 0.728
0.375 0.375 0.373
0.625 0.625 0.627
0.185 0.185 0.104
0.472 0.472 0.693
0.528 0.528 0.307
0.815 0.815 0.896
```

- Total energy: -62.15 eV per cell
- M_tot: 0.00 μB/cell
- Formation energy (no corrections): -719.7 meV/atom

***

First-principles (PBEsol) data for a relaxed structure of DyB2Ir3, as listed in Alexandria via LeMat-Bulk.

```
DyB2Ir3
1.0
5.405 0.000 0.000
-2.702 4.681 0.000
0.000 0.000 3.132
Dy B Ir
1 2 3
Direct
0.000 0.000 0.000
0.333 0.667 0.000
0.667 0.333 0.000
0.000 0.500 0.500
0.500 0.000 0.500
0.500 0.500 0.500
```

- Total energy: -52.75 eV per cell
- Formation enthalpy at 0 K: -711 meV per atom
- M_tot: 0.00 μB/cell

***

First-principles (PBEsol) data for a relaxed structure of ZrIn2Co, as listed in Alexandria via LeMat-Bulk.

```
ZrIn2Co
1.0
3.124 0.000 0.000
0.000 4.400 0.000
-1.241 0.000 5.419
Zr In Co
1 2 1
Direct
0.000 0.000 0.000
0.357 0.500 0.731
0.643 0.500 0.269
0.500 0.000 0.500
```

- Total energy: -22.75 eV per cell
- Formation enthalpy at 0 K: 11 meV per atom
- M_tot: 0.97 μB/cell

***

First-principles (PBEsol) data for a relaxed structure of CaSiHg4, as listed in Alexandria via LeMat-Bulk.

```
CaSiHg4
1.0
0.000 4.123 4.123
4.123 0.000 4.123
4.123 4.123 0.000
Ca Si Hg
1 1 4
Direct
0.000 0.000 0.000
0.750 0.750 0.750
0.375 0.375 0.375
0.375 0.375 0.874
0.375 0.874 0.375
0.874 0.375 0.375
```

- Total energy: -9.94 eV per cell
- M_tot: 0.00 μB/cell
- Formation energy (no corrections): 34.1 meV/atom

***

First-principles (PBEsol) data for a relaxed structure of Li2LaMn, as listed in Alexandria via LeMat-Bulk.

```
Li2LaMn
1.0
1.593 0.920 10.117
-1.593 0.920 10.117
0.000 -1.840 10.117
Li La Mn
2 1 1
Direct
0.000 0.000 0.000
0.251 0.251 0.251
0.765 0.765 0.765
0.514 0.514 0.514
```

- Energy above the lowest structure with this stoichiometry: 13 meV per atom
- Total energy: -17.35 eV per cell
- Formation enthalpy at 0 K: 423 meV per atom
- M_tot: 3.89 μB/cell

***

First-principles (PBEsol) data for a relaxed structure of NaLa2ZnB, as listed in Alexandria via LeMat-Bulk.

```
NaLa2ZnB
1.0
5.513 0.000 0.000
0.000 5.513 0.000
0.000 0.000 4.845
Na La Zn B
1 2 1 1
Direct
0.000 0.000 0.000
0.000 0.500 0.500
0.500 0.000 0.500
0.000 0.000 0.500
0.500 0.500 0.000
```

- Total energy: -15.36 eV per cell
- Formation enthalpy at 0 K: 1066 meV per atom
- M_tot: 0.37 μB/cell